No. 1
DFT (PBE-GGA) results for an optimized crystal structure of Ca2Hf2Pd.

Structure (CIF):
```
data_Ca2Hf2Pd
_space_group_name_H-M_alt 'P 1'
_space_group_IT_number 1
_cell_length_a 6.9169
_cell_length_b 6.9169
_cell_length_c 5.5316
_cell_angle_alpha 90.00
_cell_angle_beta 90.00
_cell_angle_gamma 90.00
loop_
_space_group_symop_operation_xyz
'x,y,z'
loop_
_atom_site_label
_atom_site_fract_x
_atom_site_fract_y
_atom_site_fract_z
_atom_site_occupancy
Ca1 0.1715 0.6715 0.5000 1
Ca2 0.6715 0.8285 0.5000 1
Ca3 0.8285 0.3285 0.5000 1
Ca4 0.3285 0.1715 0.5000 1
Hf1 0.3522 0.8522 0.0000 1
Hf2 0.8522 0.6478 0.0000 1
Hf3 0.6478 0.1478 0.0000 1
Hf4 0.1478 0.3522 0.0000 1
Pd1 0.0000 0.0000 0.0000 1
Pd2 0.5000 0.5000 0.0000 1
```

Summary:
E_tot (eV per atom): -5.6898
Energy of formation from the pure elements (meV per atom): 131
V (Å³ per cell): 264.7
Crystal system: tetragonal

No. 2
DFT (PBE-GGA) results for an optimized crystal structure of Zn2SnHgMo.

Structure (CIF):
```
data_Zn2SnHgMo
_space_group_name_H-M_alt 'P 1'
_space_group_IT_number 1
_cell_length_a 4.8283
_cell_length_b 5.4370
_cell_length_c 4.8283
_cell_angle_alpha 90.00
_cell_angle_beta 90.00
_cell_angle_gamma 90.00
loop_
_space_group_symop_operation_xyz
'x,y,z'
loop_
_atom_site_label
_atom_site_fract_x
_atom_site_fract_y
_atom_site_fract_z
_atom_site_occupancy
Zn1 0.0000 0.0000 0.5000 1
Zn2 0.5000 0.0000 0.0000 1
Mo1 0.0000 0.5000 0.0000 1
Hg1 0.0000 0.0000 0.0000 1
Sn1 0.5000 0.5000 0.5000 1
```

Summary:
E_tot (eV per atom): -2.4938
Energy of formation from the pure elements (meV per atom): 1043
V (Å³ per cell): 126.8
Crystal system: tetragonal

No. 3
DFT (PBE-GGA) results for an optimized crystal structure of Na2LaTh2Te6.

Structure (CIF):
```
data_Na2LaTh2Te6
_space_group_name_H-M_alt 'P 1'
_space_group_IT_number 1
_cell_length_a 7.8308
_cell_length_b 7.8308
_cell_length_c 8.0423
_cell_angle_alpha 99.22
_cell_angle_beta 99.22
_cell_angle_gamma 120.30
loop_
_space_group_symop_operation_xyz
'x,y,z'
loop_
_atom_site_label
_atom_site_fract_x
_atom_site_fract_y
_atom_site_fract_z
_atom_site_occupancy
Na1 0.8363 0.1637 0.0000 1
Na2 0.1637 0.8363 0.0000 1
La1 0.0000 0.0000 0.5000 1
Th1 0.3334 0.6666 0.5000 1
Th2 0.6666 0.3334 0.5000 1
Te1 0.7360 0.7360 0.7422 1
Te2 0.0806 0.4212 0.7414 1
Te3 0.2640 0.2640 0.2578 1
Te4 0.4212 0.0806 0.7414 1
Te5 0.9194 0.5788 0.2586 1
Te6 0.5788 0.9194 0.2586 1
```

Summary:
E_tot (eV per atom): -4.9738
V (Å³ per cell): 403.1
Crystal system: monoclinic
Formation energy from raw total energies (meV/atom): -1223

> Which of these has the lowest V?

Zn2SnHgMo

> Which of these has the highest V?

Na2LaTh2Te6

> Look up the V of the first one.

264.7 Å³ per cell